Entry 1:
Material: LiZr2Al
Method: DFT, PBE
State: optimized geometry

- Formation energy from the elements: -0.0870 eV per atom
- E: -5.775 eV/atom
- Symmetry: No. 6

POSCAR file:
```
LiZr2Al
1.0
-0.340 -2.285 -3.745
3.097 -0.668 0.127
0.430 -5.013 3.020
Zr Al Li
2 1 1
Direct
0.000 0.951 0.972
0.500 0.297 0.279
0.000 0.689 0.497
0.500 0.563 0.751
```

=====

Entry 2:
Material: Zn5GaPt6
Method: DFT, PBE
State: optimized geometry

- Formation energy from the elements: -0.5828 eV per atom
- E: -4.386 eV/atom
- Symmetry: No. 71

POSCAR file:
```
Zn5GaPt6
1.0
0.341 1.933 -3.552
-4.796 -4.451 -2.883
-2.250 5.033 4.840
Pt Zn Ga
6 5 1
Direct
0.166 0.411 0.332
0.834 0.079 0.668
0.834 0.589 0.668
0.500 0.760 0.000
0.500 0.240 0.000
0.166 0.921 0.332
0.674 0.174 0.348
0.326 0.826 0.652
0.663 0.663 0.325
0.000 0.500 0.000
0.337 0.337 0.675
0.000 0.000 0.000
```

=====

Entry 3:
Material: TiZnGa2
Method: DFT, PBE
State: optimized geometry

- Formation energy from the elements: -0.3709 eV per atom
- E: -4.177 eV/atom
- Symmetry: No. 123

POSCAR file:
```
TiZnGa2
1.0
-0.326 -0.745 -3.892
1.620 -3.590 0.551
-3.515 -1.497 0.581
Ti Ga Zn
1 2 1
Direct
0.000 0.000 0.000
0.000 0.500 0.500
0.500 0.000 0.500
0.500 0.500 0.000
```

=====

Entry 4:
Material: Y2MnPb
Method: DFT, PBE
State: optimized geometry

- Formation energy from the elements: 0.0407 eV per atom
- E: -6.411 eV/atom
- Symmetry: No. 99

POSCAR file:
```
Y2MnPb
1.0
3.540 0.000 0.000
0.000 3.540 0.000
0.000 0.000 8.447
Y Mn Pb
2 1 1
Direct
0.500 0.500 0.297
0.000 0.000 0.980
0.000 0.000 0.512
0.500 0.500 0.711
```

=====

Entry 5:
Material: Ce2SmPd9
Method: DFT, PBE
State: optimized geometry

- Formation energy from the elements: -0.8369 eV per atom
- E: -6.114 eV/atom
- Symmetry: No. 123

POSCAR file:
```
Ce2SmPd9
1.0
4.159 0.000 0.000
0.000 4.159 0.000
0.000 0.000 12.473
Pd Ce Sm
9 2 1
Direct
0.500 0.500 0.000
0.000 0.500 0.830
0.500 0.000 0.830
0.000 0.500 0.500
0.500 0.000 0.170
0.500 0.000 0.500
0.500 0.500 0.335
0.000 0.500 0.170
0.500 0.500 0.665
0.000 0.000 0.332
0.000 0.000 0.668
0.000 0.000 0.000
```

=====

Entry 6:
Material: Tb12Er5Hf3
Method: DFT, PBE
State: optimized geometry

- Formation energy from the elements: 1.1043 eV per atom
- E: -4.308 eV/atom
- Symmetry: No. 230

POSCAR file:
```
Tb12Er5Hf3
1.0
-5.821 9.252 11.547
-10.126 -0.181 -12.258
1.910 -14.790 5.515
Er Tb Hf
20 48 12
Direct
0.000 0.500 0.500
0.500 0.000 0.000
0.000 0.500 0.000
0.250 0.375 0.625
0.750 0.625 0.375
0.875 0.250 0.625
0.750 0.125 0.875
0.875 0.625 0.750
0.625 0.750 0.875
0.500 0.500 0.500
0.500 0.000 0.500
0.500 0.500 0.000
0.250 0.875 0.125
0.625 0.875 0.250
0.375 0.125 0.750
0.125 0.750 0.375
0.000 0.000 0.000
0.125 0.375 0.250
0.000 0.000 0.500
0.375 0.250 0.125
0.360 0.921 0.766
0.345 0.766 0.406
0.266 0.860 0.921
0.439 0.079 0.345
0.094 0.939 0.360
0.655 0.421 0.561
0.079 0.640 0.734
0.406 0.266 0.345
0.921 0.561 0.155
0.845 0.939 0.079
0.579 0.234 0.140
0.421 0.766 0.860
0.234 0.579 0.640
0.061 0.155 0.421
0.906 0.845 0.766
0.079 0.439 0.845
0.594 0.860 0.439
0.640 0.561 0.906
0.155 0.094 0.734
0.906 0.061 0.640
0.921 0.360 0.266
0.766 0.345 0.906
0.561 0.640 0.406
0.406 0.140 0.561
0.939 0.845 0.579
0.140 0.406 0.061
0.860 0.266 0.421
0.561 0.921 0.655
0.155 0.061 0.921
0.734 0.594 0.155
0.345 0.579 0.439
0.655 0.234 0.594
0.234 0.655 0.094
0.860 0.594 0.939
0.061 0.906 0.140
0.939 0.094 0.860
0.845 0.906 0.266
0.579 0.345 0.939
0.094 0.155 0.234
0.594 0.734 0.655
0.439 0.360 0.594
0.640 0.079 0.234
0.360 0.439 0.094
0.766 0.421 0.360
0.421 0.655 0.061
0.734 0.140 0.079
0.266 0.406 0.845
0.140 0.734 0.579
0.750 0.375 0.125
0.125 0.875 0.750
0.625 0.250 0.375
0.250 0.625 0.875
0.875 0.125 0.250
0.375 0.750 0.625
0.875 0.750 0.125
0.375 0.625 0.250
0.125 0.250 0.875
0.750 0.875 0.625
0.250 0.125 0.375
0.625 0.375 0.750
```

=====

Entry 7:
Material: PrGa3Rh3
Method: DFT, PBE
State: optimized geometry

- Formation energy from the elements: -0.2802 eV per atom
- E: -5.411 eV/atom
- Symmetry: No. 223

POSCAR file:
```
PrGa3Rh3
1.0
-0.997 4.903 -4.480
-6.227 0.885 2.354
2.308 4.503 4.415
Ga Rh Pr
6 6 2
Direct
0.750 0.000 0.500
0.500 0.250 0.000
0.000 0.500 0.250
0.000 0.500 0.750
0.500 0.750 0.000
0.250 0.000 0.500
0.500 0.000 0.250
0.000 0.750 0.500
0.000 0.250 0.500
0.500 0.000 0.750
0.750 0.500 0.000
0.250 0.500 0.000
0.000 0.000 0.000
0.500 0.500 0.500
```

=====

Entry 8:
Material: K2AlCl
Method: DFT, PBE
State: optimized geometry

- Formation energy from raw total energies: -51 kJ per mole of atoms
- E: -2.475 eV/atom
- Symmetry: No. 25

POSCAR file:
```
K2AlCl
1.0
-1.918 0.660 3.337
-1.289 -3.662 -0.017
8.316 -2.952 5.364
K Cl Al
2 1 1
Direct
0.500 0.500 0.245
0.000 0.000 0.826
0.500 0.500 0.953
0.000 0.000 0.477
```

=====

Entry 9:
Material: Li7HoAg4
Method: DFT, PBE
State: optimized geometry

- Formation energy from the elements: 0.0178 eV per atom
- E: -2.430 eV/atom
- Symmetry: No. 12

POSCAR file:
```
Li7HoAg4
1.0
-2.739 -0.371 -4.059
3.311 -4.689 -4.777
-3.719 -6.047 0.091
Ag Ho Li
4 1 7
Direct
0.692 0.657 0.960
0.308 0.343 0.040
0.445 0.766 0.344
0.555 0.234 0.656
0.000 0.000 0.000
0.780 0.879 0.562
0.500 0.000 0.000
0.308 0.641 0.743
0.220 0.121 0.438
0.938 0.415 0.708
0.692 0.359 0.257
0.062 0.585 0.292
```

=====

Entry 10:
Material: LaAlPCl2
Method: DFT, PBE
State: optimized geometry

- Formation energy from raw total energies: -93 kJ per mole of atoms
- E: -4.517 eV/atom
- Symmetry: No. 123

POSCAR file:
```
LaAlPCl2
1.0
4.768 0.000 0.000
0.000 4.768 0.000
0.000 0.000 4.935
Al Cl La P
1 2 1 1
Direct
0.000 0.000 0.000
0.000 0.500 0.000
0.500 0.000 0.000
0.500 0.500 0.500
0.000 0.000 0.500
```

=====

Entry 11:
Material: SmSi2Pt
Method: DFT, PBE
State: optimized geometry

- Formation energy from raw total energies: -95 kJ per mole of atoms
- E: -6.386 eV/atom
- Symmetry: No. 71

POSCAR file:
```
SmSi2Pt
1.0
4.329 0.000 0.000
0.000 8.570 0.000
-2.164 -4.285 8.055
Si Pt Sm
8 4 4
Direct
0.927 0.927 0.854
0.073 0.073 0.146
0.302 0.950 0.603
0.698 0.050 0.397
0.698 0.346 0.397
0.302 0.654 0.603
0.073 0.573 0.145
0.927 0.427 0.855
0.851 0.097 0.702
0.149 0.903 0.298
0.149 0.395 0.298
0.851 0.605 0.702
0.500 0.258 0.000
0.702 0.702 0.404
0.298 0.298 0.596
0.500 0.742 0.000
```

=====

no.,total moment (μB/f.u.)
1,0.0
2,0.0
3,0.0
4,4.2
5,0.7
6,0.5
7,0.0
8,0.0
9,0.0
10,0.3
11,0.0